No. 1
Crystalline Sr2HfReO8 at its relaxed geometry, computed with PBE.

Computed properties:
The calculation puts the raw formation energy at -2.264 eV per atom.

abc: 5.364 5.362 6.504
angles: 90.00 90.00 91.45
Atoms (fractional coordinates):
O 0.268 0.267 0.500
O 0.247 0.246 0.000
O 0.166 0.833 0.225
O 0.753 0.754 0.000
O 0.834 0.167 0.225
O 0.166 0.833 0.775
O 0.732 0.733 0.500
O 0.834 0.167 0.775
Sr 0.500 0.500 0.752
Sr 0.500 0.500 0.248
Re 0.000 0.000 0.000
Hf 0.000 0.000 0.500

***

No. 2
Crystalline La3YMn at its relaxed geometry, computed with PBE.

Computed properties:
The energy relative to the elements is 0.993 eV/atom. The excess energy over the best structure of this formula in the dataset comes out at 0.772 eV/atom.

abc: 5.834 5.834 5.834
angles: 90.00 90.00 90.00
Atoms (fractional coordinates):
La 0.500 0.000 0.000
La 0.000 0.000 0.500
La 0.000 0.500 0.000
Y 0.000 0.000 0.000
Mn 0.500 0.500 0.500

***

No. 3
Crystalline K2ZrRe at its relaxed geometry, computed with PBE.

Computed properties:
The energy relative to the elements is 1.486 eV/atom. The excess energy over the best structure of this formula in the dataset comes out at 0.839 eV/atom.

abc: 12.352 12.352 9.063
angles: 47.05 47.05 90.00
Atoms (fractional coordinates):
K 0.982 0.625 0.250
K 0.375 0.232 0.750
K 0.768 0.125 0.250
K 0.875 0.018 0.750
Re 0.750 0.250 0.500
Re 0.000 0.000 0.000
Zr 0.250 0.750 0.500
Zr 0.500 0.500 0.000

***

No. 4
Crystalline PmNdEuHo at its relaxed geometry, computed with PBE.

Computed properties:
The energy relative to the elements is 0.154 eV/atom.

abc: 5.832 5.832 5.832
angles: 60.00 60.00 60.00
Atoms (fractional coordinates):
Pm 0.250 0.250 0.250
Ho 0.000 0.000 0.000
Eu 0.750 0.750 0.750
Nd 0.500 0.500 0.500

***

No. 5
Crystalline K2SnMo at its relaxed geometry, computed with PBE.

Computed properties:
The energy relative to the elements is 0.896 eV/atom.

abc: 12.849 12.849 9.470
angles: 47.28 47.28 90.00
Atoms (fractional coordinates):
Mo 0.250 0.750 0.500
Mo 0.500 0.500 0.000
K 0.875 0.700 0.750
K 0.375 0.550 0.750
K 0.450 0.125 0.250
K 0.300 0.625 0.250
Sn 0.000 0.000 0.000
Sn 0.750 0.250 0.500

***

No. 6
Crystalline BaCa3Rh at its relaxed geometry, computed with PBE.

Computed properties:
The energy relative to the elements is -0.186 eV/atom. The excess energy over the best structure of this formula in the dataset comes out at 0.043 eV/atom.

abc: 14.486 10.208 10.208
angles: 82.46 124.67 55.33
Atoms (fractional coordinates):
Rh 0.750 0.552 0.052
Rh 0.250 0.448 0.948
Rh 0.750 0.149 0.649
Rh 0.250 0.851 0.351
Ba 0.888 0.691 0.718
Ba 0.112 0.309 0.282
Ba 0.612 0.218 0.191
Ba 0.388 0.782 0.809
Ca 0.937 0.130 0.237
Ca 0.641 0.918 0.946
Ca 0.359 0.082 0.054
Ca 0.028 0.813 0.100
Ca 0.141 0.554 0.582
Ca 0.859 0.446 0.418
Ca 0.563 0.737 0.630
Ca 0.063 0.870 0.763
Ca 0.972 0.187 0.900
Ca 0.472 0.600 0.313
Ca 0.528 0.400 0.687
Ca 0.437 0.263 0.370

***

No. 7
Crystalline Ba2MnHg at its relaxed geometry, computed with PBE.

Computed properties:
The energy relative to the elements is 0.257 eV/atom. The excess energy over the best structure of this formula in the dataset comes out at 0.215 eV/atom.

abc: 4.569 4.569 9.525
angles: 77.13 77.13 57.94
Atoms (fractional coordinates):
Ba 0.997 0.997 0.012
Ba 0.503 0.503 0.488
Mn 0.250 0.250 0.250
Hg 0.750 0.750 0.750

***

Q: Number 3 is which compound?
A: K2ZrRe

***

What did the sixth record say?
Crystalline BaCa3Rh at its relaxed geometry, computed with PBE.

Computed properties:
The energy relative to the elements is -0.186 eV/atom. The excess energy over the best structure of this formula in the dataset comes out at 0.043 eV/atom.

abc: 14.486 10.208 10.208
angles: 82.46 124.67 55.33
Atoms (fractional coordinates):
Rh 0.750 0.552 0.052
Rh 0.250 0.448 0.948
Rh 0.750 0.149 0.649
Rh 0.250 0.851 0.351
Ba 0.888 0.691 0.718
Ba 0.112 0.309 0.282
Ba 0.612 0.218 0.191
Ba 0.388 0.782 0.809
Ca 0.937 0.130 0.237
Ca 0.641 0.918 0.946
Ca 0.359 0.082 0.054
Ca 0.028 0.813 0.100
Ca 0.141 0.554 0.582
Ca 0.859 0.446 0.418
Ca 0.563 0.737 0.630
Ca 0.063 0.870 0.763
Ca 0.972 0.187 0.900
Ca 0.472 0.600 0.313
Ca 0.528 0.400 0.687
Ca 0.437 0.263 0.370